Below is a relaxed Cs2NbB crystal, with properties calculated at the PBE level.

Lattice parameters (Å, degrees): 5.9816 5.9816 5.9816 60.00 60.00 60.00
Atoms (fractional coordinates):
Cs1 0.2500 0.2500 0.2500
Cs2 0.7500 0.7500 0.7500
Nb1 0.0000 0.0000 0.0000
B1 0.5000 0.5000 0.5000

## Properties
- Total magnetic moment: 3.9 Bohr magnetons per cell
- N(E_F): 1.85 states/eV per atom
- Space group: Fm-3m, No. 225
- Formation energy: 2202 meV per atom
- Energy: -2.411 eV per atom